{"formula": "GdSnBi", "functional": "PBE", "state": "relaxed", "e_tot_ev_per_cell": -23.035, "formation_energy_kj_per_mol_atoms": -34.4, "de_polymorph_mev_per_atom": 81, "total_magnetization_mub_per_fu": 7.38, "dos_ef_per_ev_cell": 3.0, "lattice": [[-3.164, 1.043, 0.270], [-1.742, -4.696, -2.276], [0.584, 0.360, 5.459]], "species": ["Bi", "Sn", "Gd"], "fractional_positions": [[0.169, 0.000, 0.000], [0.164, 0.667, 0.333], [0.667, 0.333, 0.667]]}

{"formula": "CrCo2Ir", "functional": "PBE", "state": "relaxed", "e_tot_ev_per_cell": -32.567, "formation_energy_kj_per_mol_atoms": 3.1, "de_polymorph_mev_per_atom": 112, "total_magnetization_mub_per_fu": 0.29, "dos_ef_per_ev_cell": 6.0, "lattice": [[4.406, 0.037, 0.000], [-1.477, 4.151, 0.000], [0.000, 0.000, 2.612]], "species": ["Co", "Co", "Cr", "Ir"], "fractional_positions": [[0.500, 0.500, 0.000], [0.000, 0.000, 0.000], [0.500, 0.000, 0.500], [0.000, 0.500, 0.500]]}

{"formula": "KLa2Mo", "functional": "PBE", "state": "relaxed", "e_tot_ev_per_cell": -19.743, "formation_energy_kj_per_mol_atoms": 49.2, "de_polymorph_mev_per_atom": 155, "total_magnetization_mub_per_fu": 0.02, "dos_ef_per_ev_cell": 5.1, "lattice": [[4.398, -0.002, -0.006], [2.882, 3.322, -0.006], [0.955, 0.436, 10.640]], "species": ["K", "La", "La", "Mo"], "fractional_positions": [[0.250, 0.250, 0.250], [0.472, 0.472, 0.595], [0.028, 0.028, 0.905], [0.750, 0.750, 0.750]]}

{"formula": "NiCl", "functional": "PBE", "state": "relaxed", "e_tot_ev_per_cell": -15.915, "raw_formation_energy_ev_per_atom": -0.16, "total_magnetization_mub_per_fu": 1.02, "dos_ef_per_ev_cell": 3.4, "lattice": [[3.582, 0.003, 0.001], [1.782, 3.108, -0.001], [0.922, 0.603, 6.851]], "species": ["Ni", "Ni", "Cl", "Cl"], "fractional_positions": [[0.558, 0.208, 0.036], [0.189, 0.833, 0.251], [0.501, 0.141, 0.383], [0.916, 0.572, 0.881]]}

{"formula": "K4U3TiSe8", "functional": "PBE", "state": "relaxed", "e_tot_ev_per_cell": -93.550, "raw_formation_energy_ev_per_atom": -1.22, "total_magnetization_mub_per_fu": 10.00, "dos_ef_per_ev_cell": 14.6, "lattice": [[8.239, 0.000, 0.000], [0.000, 9.089, 0.594], [-4.119, -4.116, 5.828]], "species": ["K", "K", "K", "K", "Se", "Se", "Se", "Se", "Se", "Se", "Se", "Se", "Ti", "U", "U", "U"], "fractional_positions": [[0.500, 0.000, 0.500], [0.000, 0.000, 0.000], [0.000, 0.000, 0.500], [0.500, 0.000, 0.000], [0.738, 0.713, 0.475], [0.748, 0.702, 0.975], [0.227, 0.702, 0.454], [0.252, 0.298, 0.025], [0.773, 0.298, 0.546], [0.773, 0.298, 0.025], [0.262, 0.287, 0.525], [0.227, 0.702, 0.975], [0.000, 0.500, 0.000], [0.500, 0.500, 0.500], [0.500, 0.500, 0.000], [0.000, 0.500, 0.500]]}

{"formula": "CoPb", "functional": "PBE", "state": "relaxed", "e_tot_ev_per_cell": -18.071, "formation_energy_kj_per_mol_atoms": 85.8, "total_magnetization_mub_per_fu": 1.46, "dos_ef_per_ev_cell": 7.1, "lattice": [[-3.942, 0.936, 2.631], [0.287, 0.122, 4.821], [-0.401, 4.209, 2.338]], "species": ["Co", "Co", "Pb", "Pb"], "fractional_positions": [[0.000, 0.000, 0.000], [0.250, 0.250, 0.250], [0.500, 0.500, 0.500], [0.750, 0.750, 0.750]]}

{"formula": "ZrAsRu", "functional": "PBE", "state": "relaxed", "e_tot_ev_per_cell": -75.134, "formation_energy_kj_per_mol_atoms": -82.7, "total_magnetization_mub_per_fu": 0.00, "dos_ef_per_ev_cell": 7.2, "lattice": [[-1.327, -4.237, 4.914], [4.290, -1.684, -4.756], [2.963, 1.540, 2.127]], "species": ["Ru", "Ru", "Ru", "Zr", "Zr", "Zr", "As", "As", "As"], "fractional_positions": [[0.000, 0.244, 0.000], [0.756, 0.756, 0.000], [0.244, 0.000, 0.000], [0.418, 0.418, 0.500], [0.582, 0.000, 0.500], [0.000, 0.582, 0.500], [0.333, 0.667, 0.000], [0.000, 0.000, 0.500], [0.667, 0.333, 0.000]]}

{"formula": "K2LaMo", "functional": "PBE", "state": "relaxed", "e_tot_ev_per_cell": -13.513, "formation_energy_kj_per_mol_atoms": 107.1, "de_polymorph_mev_per_atom": 395, "total_magnetization_mub_per_fu": 2.73, "dos_ef_per_ev_cell": 4.8, "lattice": [[-6.016, 4.460, 0.419], [-5.787, 0.500, -4.746], [4.320, -4.772, 3.851]], "species": ["La", "Mo", "K", "K"], "fractional_positions": [[0.250, 0.750, 0.500], [0.750, 0.250, 0.500], [0.500, 0.500, 0.000], [0.000, 0.000, 0.000]]}